VASP calculation (PBEsol) on TlHgC3 after structural relaxation.

The structure in POSCAR format:
```
TlHgC3
1.0
-1.167 -0.209 -4.242
-1.664 -4.025 0.656
-3.908 1.776 0.988
C Tl Hg
3 1 1
Direct
0.000 0.500 0.000
0.000 0.000 0.500
0.500 0.000 0.000
0.000 0.000 0.000
0.500 0.500 0.500
```

Results
VASP energy: -14.66 eV for the cell shown
space-group type: Pm-3m
size of the total moment: 0.27 μB/atom
energy relative to the elements: 3.49 eV per atom

VASP calculation (PBEsol) on Zr3GePt after structural relaxation.

The structure in POSCAR format:
```
Zr3GePt
1.0
-4.457 1.597 -1.621
0.223 -3.241 -3.806
-2.265 -3.462 2.815
Ge Zr Pt
1 3 1
Direct
0.500 0.500 0.500
0.000 0.500 0.000
0.000 0.000 0.500
0.500 0.000 0.000
0.000 0.000 0.000
```

Results
VASP energy: -38.37 eV for the cell shown
space-group type: Pm-3m
size of the total moment: 0.00 μB/atom
energy relative to the elements: 0.16 eV per atom

VASP calculation (PBEsol) on Cs2LiCd2 after structural relaxation.

The structure in POSCAR format:
```
Cs2LiCd2
1.0
-4.765 2.497 1.944
1.214 -1.802 5.291
5.576 5.922 -2.354
Cs Li Cd
2 1 2
Direct
0.250 0.750 0.500
0.750 0.250 0.500
0.000 0.000 0.000
0.408 0.408 0.816
0.592 0.592 0.184
```

Results
VASP energy: -4.89 eV for the cell shown
space-group type: I4/mmm
size of the total moment: 0.00 μB/atom
energy relative to the elements: 0.27 eV per atom

VASP calculation (PBEsol) on MoIr3 after structural relaxation.

The structure in POSCAR format:
```
MoIr3
1.0
3.846 0.000 0.000
0.000 3.846 0.000
0.000 0.000 3.846
Mo Ir
1 3
Direct
0.500 0.500 0.500
0.000 0.000 0.500
0.000 0.500 0.000
0.500 0.000 0.000
```

Results
VASP energy: -42.38 eV for the cell shown
space-group type: Pm-3m
size of the total moment: 0.00 μB/atom
energy relative to the elements: -0.28 eV per atom
energy relative to the lowest polymorph listed for this composition: 0.018 eV per atom

Look up the VASP energy of the fourth one.
-42.38 eV for the cell shown

Look up the energy relative to the elements of the first one.
3.49 eV per atom

Please write out number 4 again, unchanged.
VASP calculation (PBEsol) on MoIr3 after structural relaxation.

The structure in POSCAR format:
```
MoIr3
1.0
3.846 0.000 0.000
0.000 3.846 0.000
0.000 0.000 3.846
Mo Ir
1 3
Direct
0.500 0.500 0.500
0.000 0.000 0.500
0.000 0.500 0.000
0.500 0.000 0.000
```

Results
VASP energy: -42.38 eV for the cell shown
space-group type: Pm-3m
size of the total moment: 0.00 μB/atom
energy relative to the elements: -0.28 eV per atom
energy relative to the lowest polymorph listed for this composition: 0.018 eV per atom

Copy entry 1 word for word.
VASP calculation (PBEsol) on TlHgC3 after structural relaxation.

The structure in POSCAR format:
```
TlHgC3
1.0
-1.167 -0.209 -4.242
-1.664 -4.025 0.656
-3.908 1.776 0.988
C Tl Hg
3 1 1
Direct
0.000 0.500 0.000
0.000 0.000 0.500
0.500 0.000 0.000
0.000 0.000 0.000
0.500 0.500 0.500
```

Results
VASP energy: -14.66 eV for the cell shown
space-group type: Pm-3m
size of the total moment: 0.27 μB/atom
energy relative to the elements: 3.49 eV per atom